Entry 1:
The following is a DFT calculation (GGA-PBE) of a geometry-optimized Sm3Y2ErBi6 structure.

Lattice parameters (Å, degrees): 4.5164 9.0279 10.0920 102.81 102.93 90.00
Fractional coordinates of all 12 atoms:
Sm (0.5000, 0.5000, 0.0000)
Sm (0.8329, 0.1669, 0.6658)
Sm (0.1671, 0.8331, 0.3342)
Y (0.8335, 0.6671, 0.6669)
Y (0.1665, 0.3329, 0.3331)
Er (0.5000, 0.0000, 0.0000)
Bi (0.3352, 0.9148, 0.6705)
Bi (0.6677, 0.5802, 0.3355)
Bi (0.6647, 0.0852, 0.3295)
Bi (0.0009, 0.2452, 0.0018)
Bi (0.9991, 0.7548, 0.9982)
Bi (0.3323, 0.4198, 0.6645)

## Properties
Space-group type: C2/m, No. 12
Formation energy: -10.8 eV/f.u.
Crystal system: monoclinic



Entry 2:
The following is a DFT calculation (GGA-PBE) of a geometry-optimized ScCo2Te structure.

Lattice parameters (Å, degrees): 4.8660 4.8660 3.9815 73.86 73.86 43.76
Fractional coordinates of all 4 atoms:
Co (0.0109, 0.0109, 0.9405)
Co (0.2459, 0.2459, 0.2901)
Sc (0.4998, 0.4998, 0.4654)
Te (0.7434, 0.7434, 0.8040)

## Properties
Space-group type: Cm, No. 8
Crystal system: monoclinic
E_form (uncorrected): -0.15 eV/atom



Entry 3:
The following is a DFT calculation (GGA-PBE) of a geometry-optimized Pd3Pt2Rh3 structure.

Lattice parameters (Å, degrees): 4.7527 6.5952 11.0589 90.00 90.00 136.03
Fractional coordinates of all 16 atoms:
Pd (0.9181, 0.7501, 0.3776)
Pd (0.0819, 0.2499, 0.8776)
Pd (0.9181, 0.7501, 0.1224)
Pd (0.0819, 0.2499, 0.6224)
Pd (0.5777, 0.2499, 0.2500)
Pd (0.4223, 0.7501, 0.7500)
Pt (0.9249, 0.7497, 0.8746)
Pt (0.0751, 0.2503, 0.3746)
Pt (0.9249, 0.7497, 0.6254)
Pt (0.0751, 0.2503, 0.1254)
Rh (0.5858, 0.2498, 0.5038)
Rh (0.4142, 0.7502, 0.0038)
Rh (0.5858, 0.2498, 0.9962)
Rh (0.4142, 0.7502, 0.4962)
Rh (0.4241, 0.7508, 0.2500)
Rh (0.5759, 0.2492, 0.7500)

## Properties
Space-group type: P2_1/m, No. 11
Formation energy: 0.6 eV/f.u.
Crystal system: monoclinic